V9NiO15 | GGA+U | optimized geometry

Summary:
Total moment in μB per cell: 38.0
Energy in eV per atom: -7.73
Space-group type: No. 2

Cell lengths 7.536, 8.871, 9.113 Å; angles 80.83, 71.66, 67.07 degrees
Element x y z (fractional)
V 0.770 0.944 0.320
V 0.132 0.860 0.077
V 0.368 0.139 0.922
V 0.732 0.058 0.679
V 0.964 0.341 0.522
V 0.268 0.942 0.321
V 0.329 0.260 0.283
V 0.632 0.861 0.078
V 0.570 0.541 0.120
V 0.868 0.140 0.923
V 0.935 0.460 0.879
V 0.230 0.056 0.680
V 0.472 0.338 0.518
V 0.528 0.662 0.482
V 0.065 0.540 0.121
V 0.430 0.459 0.880
V 0.671 0.740 0.717
V 0.036 0.659 0.478
Ni 0.166 0.740 0.722
Ni 0.834 0.260 0.278
O 0.109 0.922 0.860
O 0.330 0.961 0.080
O 0.492 0.972 0.740
O 0.904 0.815 0.660
O 0.706 0.117 0.466
O 0.928 0.160 0.678
O 0.072 0.840 0.322
O 0.294 0.883 0.534
O 0.096 0.185 0.340
O 0.508 0.028 0.260
O 0.308 0.313 0.069
O 0.510 0.358 0.275
O 0.670 0.039 0.920
O 0.891 0.078 0.140
O 0.689 0.379 0.940
O 0.114 0.220 0.861
O 0.912 0.518 0.661
O 0.133 0.557 0.881
O 0.271 0.236 0.522
O 0.488 0.284 0.741
O 0.295 0.573 0.535
O 0.705 0.427 0.465
O 0.512 0.716 0.259
O 0.729 0.764 0.478
O 0.867 0.443 0.119
O 0.088 0.482 0.339
O 0.886 0.780 0.139
O 0.311 0.621 0.060
O 0.490 0.642 0.725
O 0.692 0.687 0.931